Record 1
DFT (PBE) results for crystalline Cd2TcAg at its relaxed geometry.

Unit cell a=5.1673 b=5.1673 c=2.8505 alpha=90.02 beta=90.02 gamma=108.33
Closest atoms and distances in Å follow each position.
Element x y z (fractional)
Ag  0.0000  0.5000  0.5000  2 Ag 2.85, 8 Cd 2.95, 2 Tc 3.03
Cd  0.0000  0.0000  0.0000  4 Cd 2.85-3.03, 4 Tc 2.95, 4 Ag 2.95
Cd  0.5000  0.5000  0.0000  4 Cd 2.85-3.03, 4 Ag 2.95, 4 Tc 2.95
Tc  0.5000  0.0000  0.5000  2 Tc 2.85, 8 Cd 2.95, 2 Ag 3.03

Size of the total moment = 0.00 μB per cell
ΔE to the lowest computed polymorph = 43.8 meV per atom
VASP energy = -3.4599 eV/atom
Crystal system = orthorhombic
Symmetry = Cmmm (65)


Record 2
DFT (PBE) results for crystalline AcPmNpN4 at its relaxed geometry.

Unit cell a=4.2209 b=4.2209 c=7.1636 alpha=107.13 beta=107.13 gamma=90.00
Closest atoms and distances in Å follow each position.
Element x y z (fractional)
Ac  0.6507  0.6507  0.3015  1 N 2.41
Pm  0.3559  0.3559  0.7119  1 N 2.38
Np  0.9992  0.9992  0.9984  6 N 2.11-2.26
N  0.9925  0.4925  0.9850  2 Np 2.11
N  0.4925  0.9925  0.9850  2 Np 2.11
N  0.8361  0.8361  0.6722  1 Np 2.12
N  0.1730  0.1730  0.3460  1 Np 2.26, 1 Pm 2.38

Size of the total moment = 1.00 μB per cell
Energy relative to the elements, uncorrected = -1.181 eV per atom
VASP energy = -9.0529 eV/atom
Crystal system = tetragonal
Symmetry = I4mm (107)


Record 3
DFT (PBE) results for crystalline CsYSnSe4 at its relaxed geometry.

Unit cell a=7.0065 b=7.3203 c=9.9786 alpha=90.00 beta=108.63 gamma=90.00
Closest atoms and distances in Å follow each position.
Element x y z (fractional)
Cs  0.7521  0.7500  0.9458  2 Se 3.46-3.65
Cs  0.2479  0.2500  0.0542  2 Se 3.46-3.65
Y  0.7846  0.7500  0.4520  6 Se 2.87-3.00
Y  0.2154  0.2500  0.5480  6 Se 2.87-3.00
Sn  0.2347  0.7500  0.3428  4 Se 2.51-2.57
Sn  0.7653  0.2500  0.6572  4 Se 2.51-2.57
Se  0.0214  0.5123  0.6920  1 Sn 2.57
Se  0.9786  0.0123  0.3080  1 Sn 2.57
Se  0.9786  0.4877  0.3080  1 Sn 2.57
Se  0.0214  0.9877  0.6920  1 Sn 2.57
Se  0.4470  0.7500  0.1814  1 Sn 2.52
Se  0.5530  0.2500  0.8186  1 Sn 2.52
Se  0.4810  0.7500  0.5893  1 Sn 2.51
Se  0.5190  0.2500  0.4107  1 Sn 2.51

Size of the total moment = 0.00 μB per cell
Energy relative to the elements, uncorrected = -1.139 eV per atom
VASP energy = -4.7474 eV/atom
Crystal system = monoclinic
Symmetry = P2_1/m (11)


Record 4
DFT (PBE) results for crystalline RbCa2Ir at its relaxed geometry.

Unit cell a=5.3781 b=5.3781 c=5.3781 alpha=60.00 beta=60.00 gamma=60.00
Closest atoms and distances in Å follow each position.
Element x y z (fractional)
Ca  0.2500  0.2500  0.2500  4 Ir 3.29, 4 Rb 3.29
Ca  0.7500  0.7500  0.7500  4 Ir 3.29, 4 Rb 3.29
Ir  0.5000  0.5000  0.5000  8 Ca 3.29
Rb  0.0000  0.0000  0.0000  8 Ca 3.29

Size of the total moment = 0.00 μB per cell
ΔE to the lowest computed polymorph = 0.0 meV per atom
VASP energy = -3.1984 eV/atom
Crystal system = cubic
Symmetry = Fm-3m (225)


Record 5
DFT (PBE) results for crystalline Nd2CuSb4Rh3 at its relaxed geometry.

Unit cell a=4.5594 b=4.5594 c=10.4873 alpha=90.00 beta=90.00 gamma=90.00
Closest atoms and distances in Å follow each position.
Element x y z (fractional)
Nd  0.5000  0.0000  0.2571  2 Cu 3.42, 6 Rh 3.42-3.52, 8 Sb 3.44-3.53
Nd  0.0000  0.5000  0.7429  2 Cu 3.42, 6 Rh 3.42-3.52, 8 Sb 3.44-3.53
Cu  0.5000  0.5000  0.5000  4 Sb 2.66
Sb  0.5000  0.5000  0.0000  4 Rh 2.62
Sb  0.0000  0.0000  0.0000  4 Rh 2.62
Sb  0.5000  0.0000  0.6299  3 Rh 2.59-2.66, 2 Cu 2.66
Sb  0.0000  0.5000  0.3701  3 Rh 2.59-2.66, 2 Cu 2.66
Rh  0.0000  0.0000  0.5000  4 Sb 2.66
Rh  0.5000  0.0000  0.8765  5 Sb 2.59-2.62
Rh  0.0000  0.5000  0.1235  5 Sb 2.59-2.62

Size of the total moment = 0.00 μB per cell
Energy relative to the elements, uncorrected = -0.720 eV per atom
VASP energy = -5.9377 eV/atom
Crystal system = tetragonal
Symmetry = P-4m2 (115)


Record 6
DFT (PBE) results for crystalline Zn2Ni12Ge5 at its relaxed geometry.

Unit cell a=4.9617 b=7.1291 c=7.9932 alpha=105.60 beta=90.00 gamma=110.36
Closest atoms and distances in Å follow each position.
Element x y z (fractional)
Zn  0.7588  0.0000  0.0000  2 Zn 2.39-2.57, 2 Ni 2.49
Zn  0.2412  0.0000  0.0000  2 Zn 2.39-2.57, 2 Ni 2.49
Ni  0.1114  0.2227  0.3054  3 Ge 2.44-2.66, 4 Ni 2.48-2.58
Ni  0.0487  0.6116  0.8915  3 Ge 2.33-2.37, 5 Ni 2.41-2.60, 1 Zn 2.49
Ni  0.5629  0.6116  0.8915  3 Ge 2.33-2.37, 5 Ni 2.41-2.60, 1 Zn 2.49
Ni  0.0966  0.6851  0.4009  4 Ge 2.38-2.44, 5 Ni 2.44-2.64
Ni  0.5885  0.6851  0.4009  4 Ge 2.38-2.44, 5 Ni 2.44-2.64
Ni  0.4884  0.9767  0.6483  2 Ge 2.29-2.32, 1 Ni 2.48
Ni  0.5116  0.0233  0.3517  2 Ge 2.29-2.32, 1 Ni 2.48
Ni  0.9034  0.3149  0.5991  4 Ge 2.38-2.44, 5 Ni 2.44-2.64
Ni  0.4115  0.3149  0.5991  4 Ge 2.38-2.44, 5 Ni 2.44-2.64
Ni  0.9513  0.3884  0.1085  3 Ge 2.33-2.37, 5 Ni 2.41-2.60, 1 Zn 2.49
Ni  0.4371  0.3884  0.1085  3 Ge 2.33-2.37, 5 Ni 2.41-2.60, 1 Zn 2.49
Ni  0.8886  0.7773  0.6946  3 Ge 2.44-2.66, 4 Ni 2.48-2.58
Ge  0.3145  0.6290  0.6480  7 Ni 2.32-2.44
Ge  0.3519  0.7038  0.1460  7 Ni 2.29-2.41
Ge  0.0000  0.0000  0.5000  6 Ni 2.39-2.44
Ge  0.6481  0.2962  0.8540  7 Ni 2.29-2.41
Ge  0.6855  0.3710  0.3520  7 Ni 2.32-2.44

Size of the total moment = 0.00 μB per cell
VASP energy = -5.1318 eV/atom
Crystal system = monoclinic
Symmetry = C2/m (12)


Record 7
DFT (PBE) results for crystalline LaYEr4 at its relaxed geometry.

Unit cell a=6.5972 b=6.5972 c=6.5972 alpha=60.00 beta=60.00 gamma=60.00
Closest atoms and distances in Å follow each position.
Element x y z (fractional)
Y  0.0000  0.0000  0.0000  12 Er 3.87, 4 La 4.04
La  0.2500  0.2500  0.2500  12 Er 3.87, 4 Y 4.04
Er  0.6258  0.6258  0.1227  6 Er 3.28-3.32
Er  0.6258  0.1227  0.6258  6 Er 3.28-3.32
Er  0.6258  0.6258  0.6258  6 Er 3.28-3.32
Er  0.1227  0.6258  0.6258  6 Er 3.28-3.32

Size of the total moment = 1.54 μB per cell
ΔE to the lowest computed polymorph = 53.9 meV per atom
VASP energy = -4.6817 eV/atom
Crystal system = cubic
Symmetry = F-43m (216)


Record 8
DFT (PBE) results for crystalline Nb2V3Ni at its relaxed geometry.

Unit cell a=4.9342 b=4.9342 c=5.0682 alpha=89.97 beta=119.18 gamma=119.97
Closest atoms and distances in Å follow each position.
Element x y z (fractional)
Nb  0.7437  0.3718  0.1156  3 Ni 2.89, 9 V 2.95, 4 Nb 3.01-3.22
Nb  0.2563  0.6282  0.8844  3 Ni 2.89, 9 V 2.95, 4 Nb 3.01-3.22
V  0.5000  0.5000  0.5000  4 V 2.47, 2 Ni 2.53
V  0.0000  0.0000  0.5000  4 V 2.47, 2 Ni 2.53
V  0.5000  0.0000  0.5000  4 V 2.47, 2 Ni 2.53
Ni  0.0000  0.0000  0.0000  6 V 2.53

Size of the total moment = 0.00 μB per cell
VASP energy = -8.9877 eV/atom
Crystal system = trigonal
Symmetry = R-3m (166)


> Look up the VASP energy of the sixth one.

-5.1318 eV/atom